## NbCoHRh2 (PBE-GGA)

Data for a geometry-optimized NbCoHRh2 structure.

a = 3.8444 Å, b = 3.8444 Å, c = 4.0155 Å
α = 90.00°, β = 90.00°, γ = 90.00°
Fractional positions:
Nb 0.0000 0.0000 0.0000
Co 0.5000 0.5000 0.0000
H 0.0000 0.0000 0.5000
Rh 0.0000 0.5000 0.5000
Rh 0.5000 0.0000 0.5000

## Properties
Density of states at the Fermi level in states/eV/cell: 2.29
Space-group type: P4/mmm, No. 123
Magnetic moment in μB per cell: 0.86
VASP energy in eV per formula unit: -36.30